Computed, not measured: a relaxed ZnP2WO crystal at the GGA+U level of DFT.

a = 4.722 Å, b = 4.722 Å, c = 3.660 Å
α = 90.00°, β = 90.00°, γ = 90.00°
Space group P4/mmm (No. 123)
Unique sites:
Zn  0.000  0.000  0.000
P  0.000  0.500  0.000
W  0.500  0.500  0.500
O  0.000  0.000  0.500

Output
DOS(E_F) (states/eV/f.u.): 3.03
Energy above the most stable polymorph in this dataset (meV per atom): 947
Magnetization (μB per formula unit): 0.1